1.
{
  "formula": "TbPm2Nd2Sm4",
  "functional": "PBE-GGA",
  "state": "optimized geometry",
  "formation_energy_kj_per_mol_atoms": 0.8,
  "total_magnetization_mub_per_fu": 0.00,
  "lattice": [[-0.1512, 0.6588, 3.6043], [3.2970, -9.1164, -0.0610], [6.8440, 6.8965, -0.9733]],
  "species": ["Nd", "Nd", "Sm", "Sm", "Sm", "Sm", "Pm", "Pm", "Tb"],
  "frac_coords": [[0.6656, 0.3313, 0.9998], [0.3344, 0.6687, 0.0002], [0.1849, 0.3698, 0.3331], [0.4817, 0.9634, 0.6689], [0.8151, 0.6302, 0.6669], [0.5183, 0.0366, 0.3311], [0.1477, 0.2955, 0.6659], [0.8523, 0.7045, 0.3341], [0.0000, 0.0000, 0.0000]]
}

=====

2.
{
  "formula": "Tb6Pm3NdSm2",
  "functional": "PBE-GGA",
  "state": "optimized geometry",
  "formation_energy_kj_per_mol_atoms": 1.1,
  "total_magnetization_mub_per_fu": 0.00,
  "lattice": [[-2.8222, 3.2501, -4.5315], [3.1134, -5.2387, -1.3878], [-9.8828, -5.5826, 3.5856]],
  "species": ["Tb", "Tb", "Tb", "Tb", "Tb", "Tb", "Pm", "Pm", "Pm", "Sm", "Sm", "Nd"],
  "frac_coords": [[0.2501, 0.2501, 0.7501], [0.7499, 0.7499, 0.2499], [0.0835, 0.4171, 0.2498], [0.4171, 0.0835, 0.2498], [0.9165, 0.5829, 0.7502], [0.5829, 0.9165, 0.7502], [0.5000, 0.5000, 0.5000], [0.1668, 0.8332, 0.5000], [0.8332, 0.1668, 0.5000], [0.6666, 0.3334, 0.0000], [0.3334, 0.6666, 0.0000], [0.0000, 0.0000, 0.0000]]
}

=====

3.
{
  "formula": "Tb2PmNdSm2",
  "functional": "PBE-GGA",
  "state": "optimized geometry",
  "formation_energy_kj_per_mol_atoms": 25.2,
  "total_magnetization_mub_per_fu": 0.00,
  "lattice": [[-2.2426, -0.9413, 2.4130], [3.1669, -5.8102, 0.6767], [10.6177, 7.2667, 12.7024]],
  "species": ["Nd", "Nd", "Tb", "Tb", "Tb", "Tb", "Sm", "Sm", "Sm", "Sm", "Pm", "Pm"],
  "frac_coords": [[0.0000, 0.0000, 0.5000], [0.5000, 0.5000, 0.0000], [0.0000, 0.2754, 0.1488], [0.5000, 0.2246, 0.6488], [0.0000, 0.7246, 0.8512], [0.5000, 0.7754, 0.3512], [0.0000, 0.7736, 0.1852], [0.5000, 0.2736, 0.3148], [0.5000, 0.7264, 0.6852], [0.0000, 0.2264, 0.8148], [0.0000, 0.0000, 0.0000], [0.5000, 0.5000, 0.5000]]
}

=====

4.
{
  "formula": "TbPmNdSm",
  "functional": "PBE-GGA",
  "state": "optimized geometry",
  "e_above_lowest_polymorph_ev_per_atom": 0.0000,
  "formation_energy_kj_per_mol_atoms": 1.4,
  "total_magnetization_mub_per_fu": 0.00,
  "lattice": [[-3.4614, -2.9218, -2.4199], [3.7736, -2.9904, -1.7872], [-0.5478, -0.0283, 6.2673]],
  "species": ["Tb", "Sm", "Pm", "Nd"],
  "frac_coords": [[0.6955, 0.1955, 0.3910], [0.4456, 0.4455, 0.8911], [0.9455, 0.9456, 0.8911], [0.1956, 0.6956, 0.3912]]
}

=====

5.
{
  "formula": "Tb6Pm2NdSm3",
  "functional": "PBE-GGA",
  "state": "optimized geometry",
  "formation_energy_kj_per_mol_atoms": 1.2,
  "total_magnetization_mub_per_fu": 0.00,
  "lattice": [[-2.7121, 2.7178, -4.9262], [-2.4162, -5.2361, 2.3989], [-4.9807, 7.2226, 8.0438]],
  "species": ["Tb", "Tb", "Tb", "Tb", "Tb", "Tb", "Nd", "Sm", "Sm", "Sm", "Pm", "Pm"],
  "frac_coords": [[0.7502, 0.7502, 0.2507], [0.5827, 0.9162, 0.7492], [0.2498, 0.2498, 0.7493], [0.4173, 0.0838, 0.2508], [0.0838, 0.4173, 0.2508], [0.9162, 0.5827, 0.7492], [0.0000, 0.0000, 0.0000], [0.8333, 0.1667, 0.5000], [0.5000, 0.5000, 0.5000], [0.1667, 0.8333, 0.5000], [0.3333, 0.6667, 0.0000], [0.6667, 0.3333, 0.0000]]
}

=====

6.
{
  "formula": "Tb2Pm6NdSm3",
  "functional": "PBE-GGA",
  "state": "optimized geometry",
  "formation_energy_kj_per_mol_atoms": 1.2,
  "total_magnetization_mub_per_fu": 0.00,
  "lattice": [[-0.5648, 4.1155, -4.7276], [1.3241, -6.0301, -1.2209], [-11.8432, -1.7627, 1.2797]],
  "species": ["Pm", "Pm", "Pm", "Pm", "Pm", "Pm", "Tb", "Tb", "Sm", "Sm", "Sm", "Nd"],
  "frac_coords": [[0.7494, 0.7494, 0.2493], [0.2506, 0.2506, 0.7507], [0.5825, 0.9165, 0.7506], [0.9165, 0.5825, 0.7506], [0.4175, 0.0835, 0.2494], [0.0835, 0.4175, 0.2494], [0.3334, 0.6666, 0.0000], [0.6666, 0.3334, 0.0000], [0.8331, 0.1669, 0.5000], [0.1669, 0.8331, 0.5000], [0.5000, 0.5000, 0.5000], [0.0000, 0.0000, 0.0000]]
}

=====

7.
{
  "formula": "Tb6Pm2Nd3Sm",
  "functional": "PBE-GGA",
  "state": "optimized geometry",
  "formation_energy_kj_per_mol_atoms": 1.1,
  "total_magnetization_mub_per_fu": 0.00,
  "lattice": [[6.2663, -0.0007, 0.0047], [-3.1322, 5.4273, 0.0047], [-1.0512, -1.8202, 11.7222]],
  "species": ["Nd", "Nd", "Nd", "Tb", "Tb", "Tb", "Tb", "Tb", "Tb", "Pm", "Pm", "Sm"],
  "frac_coords": [[0.8332, 0.1668, 0.5000], [0.1668, 0.8332, 0.5000], [0.5000, 0.5000, 0.5000], [0.9170, 0.5838, 0.7510], [0.5838, 0.9170, 0.7510], [0.7498, 0.7498, 0.2492], [0.4162, 0.0830, 0.2490], [0.0830, 0.4162, 0.2490], [0.2502, 0.2502, 0.7508], [0.6666, 0.3334, 0.0000], [0.3334, 0.6666, 0.0000], [0.0000, 0.0000, 0.0000]]
}

=====

8.
{
  "formula": "TbPm6NdSm2",
  "functional": "PBE-GGA",
  "state": "optimized geometry",
  "formation_energy_kj_per_mol_atoms": 11.3,
  "total_magnetization_mub_per_fu": 0.00,
  "lattice": [[9.3718, -2.1397, -2.2205], [0.7556, 8.6775, -2.0581], [0.7556, -2.3783, 8.5953]],
  "species": ["Nd", "Nd", "Pm", "Pm", "Pm", "Pm", "Pm", "Pm", "Pm", "Pm", "Pm", "Pm", "Pm", "Pm", "Tb", "Tb", "Sm", "Sm", "Sm", "Sm"],
  "frac_coords": [[0.7500, 0.5941, 0.4059], [0.2500, 0.4059, 0.5941], [0.1209, 0.7066, 0.4982], [0.4443, 0.2484, 0.8813], [0.3791, 0.5018, 0.2934], [0.6209, 0.4982, 0.7066], [0.0557, 0.1187, 0.7516], [0.6856, 0.0218, 0.5735], [0.1856, 0.5735, 0.0218], [0.5557, 0.7516, 0.1187], [0.3144, 0.9782, 0.4265], [0.9443, 0.8813, 0.2484], [0.8144, 0.4265, 0.9782], [0.8791, 0.2934, 0.5018], [0.7500, 0.0222, 0.9778], [0.2500, 0.9778, 0.0222], [0.0428, 0.2924, 0.1916], [0.4572, 0.8084, 0.7076], [0.9572, 0.7076, 0.8084], [0.5428, 0.1916, 0.2924]]
}

=====

9.
{
  "formula": "TbPm6Nd2Sm3",
  "functional": "PBE-GGA",
  "state": "optimized geometry",
  "formation_energy_kj_per_mol_atoms": 1.2,
  "total_magnetization_mub_per_fu": 0.00,
  "lattice": [[-5.5222, -2.7769, -1.2659], [4.5294, -3.2120, 2.9961], [-3.9434, 5.7256, 9.8845]],
  "species": ["Pm", "Pm", "Pm", "Pm", "Pm", "Pm", "Nd", "Nd", "Sm", "Sm", "Sm", "Tb"],
  "frac_coords": [[0.2490, 0.2490, 0.7494], [0.4158, 0.0834, 0.2504], [0.0834, 0.4158, 0.2504], [0.5842, 0.9166, 0.7496], [0.9166, 0.5842, 0.7496], [0.7510, 0.7510, 0.2506], [0.3334, 0.6666, 0.0000], [0.6666, 0.3334, 0.0000], [0.1665, 0.8335, 0.5000], [0.8335, 0.1665, 0.5000], [0.5000, 0.5000, 0.5000], [0.0000, 0.0000, 0.0000]]
}

=====

10.
{
  "formula": "Tb2PmNdSm5",
  "functional": "PBE-GGA",
  "state": "optimized geometry",
  "formation_energy_kj_per_mol_atoms": 14.2,
  "total_magnetization_mub_per_fu": 0.00,
  "lattice": [[5.7008, 0.0000, 0.0000], [-2.8504, 10.1297, 0.0000], [0.0000, 0.0000, 10.6915]],
  "species": ["Tb", "Tb", "Tb", "Tb", "Pm", "Pm", "Sm", "Sm", "Sm", "Sm", "Sm", "Sm", "Sm", "Sm", "Sm", "Sm", "Nd", "Nd"],
  "frac_coords": [[0.8881, 0.7762, 0.2334], [0.1162, 0.2324, 0.3222], [0.8838, 0.7676, 0.8222], [0.1119, 0.2238, 0.7334], [0.2013, 0.4026, 0.0109], [0.7987, 0.5974, 0.5109], [0.0169, 0.0338, 0.0247], [0.3908, 0.7817, 0.0250], [0.4781, 0.9561, 0.7391], [0.7025, 0.4049, 0.2064], [0.6092, 0.2183, 0.5250], [0.2975, 0.5951, 0.7064], [0.7190, 0.4379, 0.8108], [0.9831, 0.9662, 0.5247], [0.5219, 0.0439, 0.2391], [0.2810, 0.5621, 0.3108], [0.5855, 0.1710, 0.9515], [0.4145, 0.8290, 0.4515]]
}

=====

11.
{
  "formula": "Tb5Pm2NdSm",
  "functional": "PBE-GGA",
  "state": "optimized geometry",
  "formation_energy_kj_per_mol_atoms": 24.8,
  "total_magnetization_mub_per_fu": 0.00,
  "lattice": [[-1.5608, 1.2497, 8.5187], [-5.3420, -6.9303, 0.0379], [9.4844, -1.8003, -2.4922]],
  "species": ["Nd", "Nd", "Tb", "Tb", "Tb", "Tb", "Tb", "Tb", "Tb", "Tb", "Tb", "Tb", "Pm", "Pm", "Pm", "Pm", "Sm", "Sm"],
  "frac_coords": [[0.2500, 0.2500, 0.5000], [0.7500, 0.7500, 0.5000], [0.8452, 0.9289, 0.2741], [0.3452, 0.8452, 0.2741], [0.0000, 0.0000, 0.0000], [0.9289, 0.4289, 0.2741], [0.4289, 0.3452, 0.2741], [0.0711, 0.5711, 0.7259], [0.5711, 0.6548, 0.7259], [0.1548, 0.0711, 0.7259], [0.6548, 0.1548, 0.7259], [0.5000, 0.5000, 0.0000], [0.3826, 0.8826, 0.0000], [0.6174, 0.1174, 0.0000], [0.1174, 0.3826, 0.0000], [0.8826, 0.6174, 0.0000], [0.7500, 0.2500, 0.5000], [0.2500, 0.7500, 0.5000]]
}

=====

12.
{
  "formula": "TbPm6Nd3Sm2",
  "functional": "PBE-GGA",
  "state": "optimized geometry",
  "formation_energy_kj_per_mol_atoms": 1.3,
  "total_magnetization_mub_per_fu": 0.00,
  "lattice": [[6.3209, -0.0009, 0.0029], [-3.1597, 5.4746, 0.0029], [-1.0641, -1.8425, 11.9085]],
  "species": ["Pm", "Pm", "Pm", "Pm", "Pm", "Pm", "Sm", "Sm", "Nd", "Nd", "Nd", "Tb"],
  "frac_coords": [[0.2503, 0.2503, 0.7520], [0.5845, 0.9173, 0.7521], [0.0827, 0.4155, 0.2479], [0.9173, 0.5845, 0.7521], [0.4155, 0.0827, 0.2479], [0.7497, 0.7497, 0.2480], [0.6667, 0.3333, 0.0000], [0.3333, 0.6667, 0.0000], [0.5000, 0.5000, 0.5000], [0.8335, 0.1665, 0.5000], [0.1665, 0.8335, 0.5000], [0.0000, 0.0000, 0.0000]]
}

=====

13.
{
  "formula": "Tb2PmNd4Sm",
  "functional": "PBE-GGA",
  "state": "optimized geometry",
  "formation_energy_kj_per_mol_atoms": 1.4,
  "total_magnetization_mub_per_fu": 0.00,
  "lattice": [[3.6500, 0.0000, 0.0000], [0.0000, 6.3008, -0.1460], [0.0000, 2.4183, 11.8098]],
  "species": ["Nd", "Nd", "Nd", "Nd", "Tb", "Tb", "Pm", "Sm"],
  "frac_coords": [[0.0000, 0.2490, 0.2503], [0.5000, 0.2496, 0.7510], [0.5000, 0.7504, 0.2490], [0.0000, 0.7510, 0.7497], [0.5000, 0.0000, 0.5000], [0.0000, 0.0000, 0.0000], [0.0000, 0.5000, 0.5000], [0.5000, 0.5000, 0.0000]]
}

=====

14.
{
  "formula": "Tb6PmNd2Sm",
  "functional": "PBE-GGA",
  "state": "optimized geometry",
  "formation_energy_kj_per_mol_atoms": 11.5,
  "total_magnetization_mub_per_fu": 0.00,
  "lattice": [[-4.0323, 7.1813, -5.3942], [7.3018, -0.6099, -4.9249], [-6.5048, -5.7807, -1.4880]],
  "species": ["Nd", "Nd", "Nd", "Nd", "Tb", "Tb", "Tb", "Tb", "Tb", "Tb", "Tb", "Tb", "Tb", "Tb", "Tb", "Tb", "Pm", "Pm", "Sm", "Sm"],
  "frac_coords": [[0.0414, 0.2916, 0.1902], [0.4586, 0.8098, 0.7084], [0.9586, 0.7084, 0.8098], [0.5414, 0.1902, 0.2916], [0.6207, 0.4955, 0.7049], [0.3793, 0.5045, 0.2951], [0.4431, 0.2586, 0.8785], [0.1207, 0.7049, 0.4955], [0.8793, 0.2951, 0.5045], [0.5569, 0.7414, 0.1215], [0.8145, 0.4239, 0.9750], [0.1855, 0.5761, 0.0250], [0.3145, 0.9750, 0.4239], [0.9431, 0.8785, 0.2586], [0.0569, 0.1215, 0.7414], [0.6855, 0.0250, 0.5761], [0.7500, 0.5944, 0.4056], [0.2500, 0.4056, 0.5944], [0.7500, 0.0172, 0.9828], [0.2500, 0.9828, 0.0172]]
}

=====

15.
{
  "formula": "TbPmNd2Sm6",
  "functional": "PBE-GGA",
  "state": "optimized geometry",
  "formation_energy_kj_per_mol_atoms": 11.3,
  "total_magnetization_mub_per_fu": 0.00,
  "lattice": [[-1.5299, 9.3377, -2.9598], [-6.1731, 0.2480, 6.4305], [8.5166, 1.3391, 2.2795]],
  "species": ["Sm", "Sm", "Sm", "Sm", "Sm", "Sm", "Sm", "Sm", "Sm", "Sm", "Sm", "Sm", "Pm", "Pm", "Nd", "Nd", "Nd", "Nd", "Tb", "Tb"],
  "frac_coords": [[0.9436, 0.8783, 0.2533], [0.4436, 0.2533, 0.8783], [0.3129, 0.9771, 0.4230], [0.5564, 0.7467, 0.1217], [0.8789, 0.2932, 0.4999], [0.1211, 0.7068, 0.5001], [0.8129, 0.4230, 0.9771], [0.1871, 0.5770, 0.0229], [0.0564, 0.1217, 0.7467], [0.6871, 0.0229, 0.5770], [0.6211, 0.5001, 0.7068], [0.3789, 0.4999, 0.2932], [0.7500, 0.5941, 0.4059], [0.2500, 0.4059, 0.5941], [0.0413, 0.2921, 0.1898], [0.4587, 0.8102, 0.7079], [0.5413, 0.1898, 0.2921], [0.9587, 0.7079, 0.8102], [0.2500, 0.9820, 0.0180], [0.7500, 0.0180, 0.9820]]
}

=====

16.
{
  "formula": "Tb2Pm5NdSm",
  "functional": "PBE-GGA",
  "state": "optimized geometry",
  "formation_energy_kj_per_mol_atoms": 14.0,
  "total_magnetization_mub_per_fu": 0.00,
  "lattice": [[-0.4264, 5.2901, 2.1205], [-7.0467, -5.7942, 5.3358], [7.4487, -2.3290, 7.3081]],
  "species": ["Sm", "Sm", "Pm", "Pm", "Pm", "Pm", "Pm", "Pm", "Pm", "Pm", "Pm", "Pm", "Nd", "Nd", "Tb", "Tb", "Tb", "Tb"],
  "frac_coords": [[0.2008, 0.4016, 0.0107], [0.7992, 0.5984, 0.5107], [0.0168, 0.0335, 0.0237], [0.6098, 0.2196, 0.5250], [0.5218, 0.0435, 0.2401], [0.7029, 0.4058, 0.2060], [0.9832, 0.9665, 0.5237], [0.2971, 0.5942, 0.7060], [0.3902, 0.7804, 0.0250], [0.4782, 0.9565, 0.7401], [0.2807, 0.5614, 0.3113], [0.7193, 0.4386, 0.8113], [0.5864, 0.1727, 0.9519], [0.4136, 0.8273, 0.4519], [0.1124, 0.2249, 0.7334], [0.1166, 0.2333, 0.3219], [0.8834, 0.7667, 0.8219], [0.8876, 0.7751, 0.2334]]
}

=====

17.
{
  "formula": "TbPm2Nd5Sm",
  "functional": "PBE-GGA",
  "state": "optimized geometry",
  "formation_energy_kj_per_mol_atoms": 26.3,
  "total_magnetization_mub_per_fu": 0.00,
  "lattice": [[-6.9531, 5.3344, 1.0960], [0.0085, -1.7669, 8.6533], [8.4388, 4.4302, -3.6108]],
  "species": ["Nd", "Nd", "Nd", "Nd", "Nd", "Nd", "Nd", "Nd", "Nd", "Nd", "Pm", "Pm", "Pm", "Pm", "Tb", "Tb", "Sm", "Sm"],
  "frac_coords": [[0.3491, 0.8491, 0.2794], [0.6509, 0.1509, 0.7206], [0.1509, 0.0697, 0.7206], [0.0000, 0.0000, 0.0000], [0.9303, 0.4303, 0.2794], [0.4303, 0.3491, 0.2794], [0.8491, 0.9303, 0.2794], [0.5697, 0.6509, 0.7206], [0.0697, 0.5697, 0.7206], [0.5000, 0.5000, 0.0000], [0.6181, 0.1181, 0.0000], [0.8819, 0.6181, 0.0000], [0.3819, 0.8819, 0.0000], [0.1181, 0.3819, 0.0000], [0.2500, 0.7500, 0.5000], [0.7500, 0.2500, 0.5000], [0.2500, 0.2500, 0.5000], [0.7500, 0.7500, 0.5000]]
}

=====

18.
{
  "formula": "TbPmNdSm",
  "functional": "PBE-GGA",
  "state": "optimized geometry",
  "e_above_lowest_polymorph_ev_per_atom": 0.1249,
  "formation_energy_kj_per_mol_atoms": 13.5,
  "total_magnetization_mub_per_fu": 0.01,
  "lattice": [[-4.3371, -0.6877, -3.7480], [-0.7335, -5.0670, -2.6679], [-4.4920, -3.3589, 1.3678]],
  "species": ["Pm", "Tb", "Sm", "Nd"],
  "frac_coords": [[0.5000, 0.5000, 0.5000], [0.0000, 0.0000, 0.0000], [0.7500, 0.7500, 0.7500], [0.2500, 0.2500, 0.2500]]
}

=====

19.
{
  "formula": "Tb5PmNdSm2",
  "functional": "PBE-GGA",
  "state": "optimized geometry",
  "formation_energy_kj_per_mol_atoms": 25.0,
  "total_magnetization_mub_per_fu": 0.00,
  "lattice": [[-1.7896, -5.5882, -6.4641], [4.3513, -6.2799, 4.2243], [-7.8749, 3.8215, 4.7718]],
  "species": ["Nd", "Nd", "Sm", "Sm", "Sm", "Sm", "Tb", "Tb", "Tb", "Tb", "Tb", "Tb", "Tb", "Tb", "Tb", "Tb", "Pm", "Pm"],
  "frac_coords": [[0.2500, 0.7500, 0.5000], [0.7500, 0.2500, 0.5000], [0.1179, 0.3821, 0.0000], [0.8821, 0.6179, 0.0000], [0.6179, 0.1179, 0.0000], [0.3821, 0.8821, 0.0000], [0.1566, 0.0699, 0.7265], [0.5000, 0.5000, 0.0000], [0.5699, 0.6566, 0.7265], [0.9301, 0.4301, 0.2735], [0.6566, 0.1566, 0.7265], [0.4301, 0.3434, 0.2735], [0.0699, 0.5699, 0.7265], [0.3434, 0.8434, 0.2735], [0.8434, 0.9301, 0.2735], [0.0000, 0.0000, 0.0000], [0.2500, 0.2500, 0.5000], [0.7500, 0.7500, 0.5000]]
}